First-principles (PBE) data for crystalline La8Pm3Nd2 at its relaxed geometry, as listed in the Alexandria database.

abc: 5.9273 7.7536 11.1560
angles: 110.34 90.04 90.00
Closest atoms and distances in Å follow each position.
Atoms (fractional coordinates):
La1 0.0013 0.6735 0.3470  2 Nd 3.45, 4 La 3.65-3.66
La2 0.9987 0.3265 0.6530  2 Nd 3.45, 4 La 3.65-3.66
La3 0.9991 0.1344 0.2688  2 Pm 3.56, 2 Nd 3.72-3.73, 6 La 3.80-3.96
La4 0.0009 0.8656 0.7312  2 Pm 3.56, 2 Nd 3.72-3.73, 6 La 3.80-3.96
La5 0.4998 0.5992 0.7921  1 La 3.15, 1 Pm 3.17
La6 0.4998 0.1928 0.7921  1 La 3.15, 1 Pm 3.17
La7 0.5002 0.8072 0.2079  1 La 3.15, 1 Pm 3.17
La8 0.5002 0.4008 0.2079  1 La 3.15, 1 Pm 3.17
Pm1 0.5000 0.0000 0.0000  4 La 3.17
Pm2 0.0000 0.2811 0.0000  3 Pm 3.39-3.68, 6 La 3.56-3.68
Pm3 0.0000 0.7189 0.0000  3 Pm 3.39-3.68, 6 La 3.56-3.68
Nd1 0.4982 0.2423 0.4846  8 La 3.45-3.73
Nd2 0.5018 0.7577 0.5154  8 La 3.45-3.73

Summary:
symmetry: C2/m, No. 12
formation enthalpy at 0 K: 0.174 eV/atom
uncorrected energy: -4.689 eV per atom